Here is a geometry-optimized TiFeAg2 structure from the Alexandria database. Energies are from PBE.

The calculation puts the formation energy at 0.56 eV per atom. The value obtained for the final energy is -4.960 eV per atom. The value obtained for the offset from the most stable computed form is 0.0350 eV per atom. The calculation puts the magnetization at 0.0 Bohr magnetons per cell. The calculated volume is 66.2 Å³/f.u.

It has space group I-42d (No. 122), with a = 3.6613 Å, b = 3.6613 Å, c = 19.7515 Å, α = 90.00°, β = 90.00° and γ = 90.00°. The inequivalent atoms are Ti at (0.0000, 0.0000, 0.0000), Fe at (0.0000, 0.0000, 0.5000) and Ag at (0.2446, 0.2500, 0.6250).